A plane-wave DFT calculation with PBE-GGA was carried out for a relaxed structure of Ga2BiPt2.

Calculated values
E above lowest polymorph, meV per atom: 0
Density, Mg/m³: 12.8
Total moment, μB/cell: 0.00
E, eV/f.u.: -24.280
ΔH_f (0 K), kJ per mole of atoms: -44

Cell lengths 3.9281, 3.9281, 12.3737 Å; angles 90.00, 90.00, 90.00 degrees
With the nearest neighbours (Å) after each atom.
Space group I4/mmm (No. 139)
Inequivalent atoms, fractional coordinates:
1 Ga 0.0000 0.5000 0.2500  4 Pt 2.57, 4 Ga 2.78
2 Bi 0.0000 0.0000 0.0000  8 Pt 3.13
3 Pt 0.0000 0.0000 0.3835  4 Ga 2.57



A plane-wave DFT calculation with PBE-GGA was carried out for a relaxed structure of Sc2SbRu.

Calculated values
Density, Mg/m³: 6.4
Total moment, μB/cell: 0.00
Formation energy without anion corrections, meV/atom: -543
E, eV/f.u.: -28.234

Cell lengths 3.2623, 4.5239, 11.0576 Å; angles 90.00, 90.00, 90.00 degrees
With the nearest neighbours (Å) after each atom.
Space group Imm2 (No. 44)
Inequivalent atoms, fractional coordinates:
1 Sc 0.0000 0.0000 0.0000  2 Ru 2.82, 4 Sb 2.96
2 Sc 0.0000 0.5000 0.2106  4 Ru 2.79
3 Sb 0.0000 0.0000 0.4093  2 Ru 2.76, 4 Sc 2.96
4 Ru 0.0000 0.5000 0.7079  2 Sb 2.76, 6 Sc 2.79-2.82